No. 1
Density functional theory data (PBE) for crystalline Sr2In2Pb at its relaxed geometry.

a b c (Å): 9.366 9.366 4.074
angles (deg): 90.00 90.00 90.00
Fractional coordinates of all 10 atoms:
Sr  0.175  0.325  0.000
Sr  0.325  0.825  0.000
Sr  0.675  0.175  0.000
Sr  0.825  0.675  0.000
In  0.122  0.622  0.500
In  0.378  0.122  0.500
In  0.622  0.878  0.500
In  0.878  0.378  0.500
Pb  0.000  0.000  0.000
Pb  0.500  0.500  0.000

Properties
Size of the total moment: 0.00 μB per cell
Formation enthalpy at 0 K: -0.170 eV/atom
Space-group type: No. 127
Calculated total energy: -2.680 eV per atom
Energy above the lowest structure with this stoichiometry: 0.240 eV/atom

=====

No. 2
Density functional theory data (PBE) for crystalline CoMoRh2 at its relaxed geometry.

a b c (Å): 8.874 8.874 8.874
angles (deg): 17.65 17.65 17.65
Fractional coordinates of all 4 atoms:
Co  0.000  0.000  0.000
Mo  0.250  0.250  0.250
Rh  0.500  0.500  0.500
Rh  0.744  0.744  0.744

Properties
Size of the total moment: 2.37 μB per cell
Formation enthalpy at 0 K: 0.082 eV/atom
Space-group type: No. 160
Calculated total energy: -8.078 eV per atom
Energy above the lowest structure with this stoichiometry: 0.196 eV/atom